(1)
MgAl3 GGA-PBEsol relaxed; DFT total energy = -3.471 eV/atom; magnetic moment = 0.00 μB/cell
1.0
-4.2323 1.5430 -1.2588
1.4504 -0.6455 -5.6679
-2.4949 -4.4568 2.9254
Al Mg
6 2
Direct
0.7500 0.8386 0.6773 Al
0.2500 0.6773 0.8386 Al
0.7500 0.8386 0.1614 Al
0.2500 0.1614 0.3227 Al
0.2500 0.1614 0.8386 Al
0.7500 0.3227 0.1614 Al
0.2500 0.6667 0.3333 Mg
0.7500 0.3333 0.6667 Mg



(2)
Mg3Al GGA-PBEsol relaxed; DFT total energy = -2.237 eV/atom; magnetic moment = 0.00 μB/cell
1.0
4.8101 0.0000 0.0000
-2.4050 4.1657 0.0000
0.0000 0.0000 8.6984
Mg Al
6 2
Direct
0.0000 0.0000 0.2500 Mg
0.3333 0.6667 0.9219 Mg
0.0000 0.0000 0.7500 Mg
0.6667 0.3333 0.0781 Mg
0.3333 0.6667 0.5781 Mg
0.6667 0.3333 0.4219 Mg
0.6667 0.3333 0.7500 Al
0.3333 0.6667 0.2500 Al



(3)
MgAl3 GGA-PBEsol relaxed; DFT total energy = -3.397 eV/atom; magnetic moment = 0.00 μB/cell
1.0
4.6372 0.0000 0.0000
2.3186 4.0159 0.0000
2.3186 1.3386 3.7863
Al Mg
3 1
Direct
0.5000 0.5000 0.5000 Al
0.7500 0.7500 0.7500 Al
0.2500 0.2500 0.2500 Al
0.0000 0.0000 0.0000 Mg



| no. | theoretical density (g/cm3) |
| --- | --- |
| 1 | 2.5 |
| 2 | 1.9 |
| 3 | 2.5 |